1.
A relaxed structure of Hf3GeH, computed with GGA-PBE.

Cell lengths 6.4237, 3.6246, 7.4675 Å; angles 90.00, 98.99, 90.00 degrees
Atoms (fractional coordinates):
Hf 0.0839 0.2500 0.3544
Hf 0.2726 0.2500 0.9347
Hf 0.3828 0.7500 0.6195
Hf 0.6172 0.2500 0.3805
Hf 0.7274 0.7500 0.0653
Hf 0.9161 0.7500 0.6456
Ge 0.3369 0.7500 0.2116
Ge 0.6631 0.2500 0.7884
H 0.1551 0.2500 0.6446
H 0.8449 0.7500 0.3554

Properties
crystal system: monoclinic
space group: P2_1/m
distance to the lowest polymorph of the same formula: 0.00 kcal/mol of atoms
DOS(E_F): 3.34 states/eV/f.u.



2.
A relaxed structure of HfGeH3, computed with GGA-PBE.

Cell lengths 3.7733, 3.7733, 3.7733 Å; angles 90.00, 90.00, 90.00 degrees
Atoms (fractional coordinates):
Hf 0.0000 0.0000 0.0000
Ge 0.5000 0.5000 0.5000
H 0.0000 0.0000 0.5000
H 0.0000 0.5000 0.0000
H 0.5000 0.0000 0.0000

Properties
crystal system: cubic
space group: Pm-3m
distance to the lowest polymorph of the same formula: 0.00 kcal/mol of atoms
DOS(E_F): 1.88 states/eV/f.u.



3.
A relaxed structure of HfGeH3, computed with GGA-PBE.

Cell lengths 3.6400, 3.6400, 3.6400 Å; angles 90.00, 90.00, 90.00 degrees
Atoms (fractional coordinates):
Hf 0.0000 0.0000 0.0000
Ge 0.5000 0.5000 0.5000
H 0.0000 0.5000 0.5000
H 0.5000 0.0000 0.5000
H 0.5000 0.5000 0.0000

Properties
crystal system: cubic
space group: Pm-3m
distance to the lowest polymorph of the same formula: 10.76 kcal/mol of atoms
DOS(E_F): 2.67 states/eV/f.u.



4.
A relaxed structure of Hf2Ge2H, computed with GGA-PBE.

Cell lengths 5.6654, 5.6654, 5.6654 Å; angles 128.33, 128.33, 76.08 degrees
Atoms (fractional coordinates):
Hf 0.2500 0.7500 0.5000
Hf 0.7500 0.2500 0.5000
Ge 0.1366 0.1366 0.0000
Ge 0.8634 0.8634 0.0000
H 0.5000 0.5000 0.0000

Properties
crystal system: tetragonal
space group: I4/mmm
distance to the lowest polymorph of the same formula: 18.84 kcal/mol of atoms
DOS(E_F): 3.54 states/eV/f.u.



5.
A relaxed structure of Hf2GeH3, computed with GGA-PBE.

Cell lengths 6.6633, 6.6633, 6.5652 Å; angles 113.39, 113.39, 30.28 degrees
Atoms (fractional coordinates):
Hf 0.0297 0.0297 0.2624
Hf 0.2954 0.2954 0.2834
Hf 0.7046 0.7046 0.7166
Hf 0.9703 0.9703 0.7376
Ge 0.3758 0.3758 0.9530
Ge 0.6242 0.6242 0.0470
H 0.1024 0.1024 0.6481
H 0.1951 0.1951 0.4744
H 0.4295 0.4295 0.5712
H 0.5705 0.5705 0.4288
H 0.8049 0.8049 0.5256
H 0.8976 0.8976 0.3519

Properties
total DFT energy (no corrections): -74.6 eV/cell
crystal system: monoclinic
space group: C2/m
DOS(E_F): 1.54 states/eV/f.u.



6.
A relaxed structure of Hf2Ge2H, computed with GGA-PBE.

Cell lengths 6.8613, 6.8613, 6.7209 Å; angles 90.00, 90.00, 147.41 degrees
Atoms (fractional coordinates):
Hf 0.0546 0.9454 0.5000
Hf 0.3432 0.6568 0.3418
Hf 0.6568 0.3432 0.8418
Hf 0.9454 0.0546 0.0000
Ge 0.2985 0.7015 0.9375
Ge 0.4473 0.5527 0.6954
Ge 0.5527 0.4473 0.1954
Ge 0.7015 0.2985 0.4375
H 0.1108 0.8892 0.7776
H 0.8892 0.1108 0.2776

Properties
crystal system: orthorhombic
space group: Cmc2_1
distance to the lowest polymorph of the same formula: 0.00 kcal/mol of atoms
DOS(E_F): 2.50 states/eV/f.u.



Copy entry 5 word for word.
A relaxed structure of Hf2GeH3, computed with GGA-PBE.

Cell lengths 6.6633, 6.6633, 6.5652 Å; angles 113.39, 113.39, 30.28 degrees
Atoms (fractional coordinates):
Hf 0.0297 0.0297 0.2624
Hf 0.2954 0.2954 0.2834
Hf 0.7046 0.7046 0.7166
Hf 0.9703 0.9703 0.7376
Ge 0.3758 0.3758 0.9530
Ge 0.6242 0.6242 0.0470
H 0.1024 0.1024 0.6481
H 0.1951 0.1951 0.4744
H 0.4295 0.4295 0.5712
H 0.5705 0.5705 0.4288
H 0.8049 0.8049 0.5256
H 0.8976 0.8976 0.3519

Properties
total DFT energy (no corrections): -74.6 eV/cell
crystal system: monoclinic
space group: C2/m
DOS(E_F): 1.54 states/eV/f.u.



DOS(E_F) of number 5 (Hf2GeH3)?
1.54 states/eV/f.u.